The following is a DFT calculation (PBE-GGA) of a relaxed Ac3Ce2NdTe6 crystal.

Values from the calculation:
calculated total energy = -0.199 Ha/atom
total magnetic moment = 2.6 μB per cell
SG = C2/m (12)

Cell and atoms, written as CIF:
```
data_Ac3Ce2NdTe6
_chemical_formula_sum 'Ac3 Ce2 Nd1 Te6'
_cell_length_a 10.3548
_cell_length_b 10.3548
_cell_length_c 9.3248
_cell_angle_alpha 103.90
_cell_angle_beta 103.90
_cell_angle_gamma 25.52
_space_group_name_H-M_alt 'P 1'
_space_group_IT_number 1
loop_
_space_group_symop_operation_xyz
'x,y,z'
loop_
_atom_site_label
_atom_site_type_symbol
_atom_site_fract_x
_atom_site_fract_y
_atom_site_fract_z
Ac1 Ac 0.0000 0.0000 0.0000
Ac2 Ac 0.3341 0.3341 0.6660
Ac3 Ac 0.6659 0.6659 0.3340
Ce1 Ce 0.3328 0.3328 0.1651
Ce2 Ce 0.6672 0.6672 0.8349
Nd1 Nd 0.0000 0.0000 0.5000
Te1 Te 0.1637 0.1637 0.5927
Te2 Te 0.1697 0.1697 0.0761
Te3 Te 0.4962 0.4962 0.2578
Te4 Te 0.5038 0.5038 0.7422
Te5 Te 0.8303 0.8303 0.9239
Te6 Te 0.8363 0.8363 0.4073
```